# GaSi2HS | Alexandria | PBE-GGA | optimized geometry
# total magnetic moment: 0.0 μB/cell
# space-group type: No. 8
# D(E_F): 0.1556 states/eV/atom
# relative energy among the computed polymorphs: 0.3282 eV/atom
data_GaSi2HS
_chemical_formula_sum 'Ga2 Si4 H2 S2'
_space_group_name_H-M_alt 'P 1'
_space_group_IT_number 1
_space_group_name_Hall 'P 1'
_cell_length_a 6.368
_cell_length_b 3.835
_cell_length_c 6.651
_cell_angle_alpha 90.00
_cell_angle_beta 90.93
_cell_angle_gamma 90.00
loop_
_atom_site_label
_atom_site_fract_x
_atom_site_fract_y
_atom_site_fract_z
H1 0.792 0.000 0.601
H2 0.792 0.500 0.101
Si1 0.829 0.000 0.085
Si2 0.829 0.500 0.585
Si3 0.998 0.000 0.763
Si4 0.998 0.500 0.263
S1 0.482 0.000 0.096
S2 0.482 0.500 0.596
Ga1 0.271 0.000 0.427
Ga2 0.271 0.500 0.927